w | The following is a DFT calculation (GGA-PBE) of a geometry-optimized CoCu2Br6 structure.

CIF file:
```
data_CoCu2Br6
_cell_length_a 14.6265
_cell_length_b 11.3405
_cell_length_c 6.3917
_cell_angle_alpha 90.00
_cell_angle_beta 93.79
_cell_angle_gamma 90.00
_space_group_name_H-M_alt 'C 1 2/c 1'
_space_group_IT_number 15
_space_group_name_Hall '-C 2yc'
loop_
_atom_site_label
_atom_site_type_symbol
_atom_site_fract_x
_atom_site_fract_y
_atom_site_fract_z
Co1 Co 0.0000 0.0787 0.2500
Cu1 Cu 0.1022 0.4101 0.2842
Br1 Br 0.0902 0.0689 0.5806
Br2 Br 0.1030 0.2261 0.1242
Br3 Br 0.1271 0.4037 0.6508
```

Total moment   0.00 μB/cell
Theoretical density   4178 kg/m3
Crystal system   monoclinic

=====

x | The following is a DFT calculation (GGA-PBE) of a geometry-optimized CoCu2Br6 structure.

CIF file:
```
data_CoCu2Br6
_cell_length_a 13.6955
_cell_length_b 13.8931
_cell_length_c 6.8248
_cell_angle_alpha 90.00
_cell_angle_beta 114.50
_cell_angle_gamma 90.00
_space_group_name_H-M_alt 'C 1 2/c 1'
_space_group_IT_number 15
_space_group_name_Hall '-C 2yc'
loop_
_atom_site_label
_atom_site_type_symbol
_atom_site_fract_x
_atom_site_fract_y
_atom_site_fract_z
Co1 Co 0.0000 0.2032 0.2500
Cu1 Cu 0.2088 0.4285 0.3825
Br1 Br 0.1012 0.1061 0.5430
Br2 Br 0.1115 0.2969 0.1434
Br3 Br 0.1753 0.4217 0.6973
```

Total moment   18.48 μB/cell
Theoretical density   3741 kg/m3
Crystal system   monoclinic

=====

Energy above the most stable structure, in meV/atom: w 15; x 0